(1)
This record from the Alexandria database describes an optimized crystal structure of AcErSbAu. The functional is PBE-GGA.

Computed properties:
- Volume: 28.62 A^3/atom
- ΔE_f (raw): -67.9 kJ/mol of atoms
- Space group: F-43m
- Uncorrected energy: -4.72 eV per atom

a b c (Å): 5.450 5.450 5.450
angles (deg): 60.00 60.00 60.00
Each line ends with the local moment (μB).
Sites, in units of the cell vectors:
Sb 0.500 0.500 0.500  -0.01
Er 0.250 0.250 0.250  0.38
Au 0.000 0.000 0.000  0.05
Ac 0.750 0.750 0.750  0.15

=====

(2)
This record from the Alexandria database describes an optimized crystal structure of AcErSi2Au2. The functional is PBE-GGA.

Computed properties:
- Volume: 22.66 A^3/atom
- ΔE_f (raw): -77.6 kJ/mol of atoms
- Space group: P-3m1
- Uncorrected energy: -5.15 eV per atom

a b c (Å): 4.377 4.377 8.194
angles (deg): 90.00 90.00 120.00
Sites, in units of the cell vectors:
Au 0.667 0.333 0.714
Au 0.333 0.667 0.286
Er 0.000 0.000 0.500
Si 0.333 0.667 0.733
Si 0.667 0.333 0.267
Ac 0.000 0.000 0.000

=====

Copy entry 2 word for word.
This record from the Alexandria database describes an optimized crystal structure of AcErSi2Au2. The functional is PBE-GGA.

Computed properties:
- Volume: 22.66 A^3/atom
- ΔE_f (raw): -77.6 kJ/mol of atoms
- Space group: P-3m1
- Uncorrected energy: -5.15 eV per atom

a b c (Å): 4.377 4.377 8.194
angles (deg): 90.00 90.00 120.00
Sites, in units of the cell vectors:
Au 0.667 0.333 0.714
Au 0.333 0.667 0.286
Er 0.000 0.000 0.500
Si 0.333 0.667 0.733
Si 0.667 0.333 0.267
Ac 0.000 0.000 0.000

=====

Among the records above, which one has the highest ΔE_f (raw)?
AcErSbAu

=====

What is the formula in the first record?
AcErSbAu